Entry 1:
Entry from the Alexandria database: crystalline Zr3Be8Al at its relaxed geometry (GGA-PBE).

It has space group R3m (No. 160, hexagonal axes), with a = 4.7686 Å, b = 4.7686 Å, c = 22.9195 Å, α = 90.00°, β = 90.00° and γ = 120.00°. Symmetry generates all atoms from Zr at (0.0000, 0.0000, 0.0000), Zr at (0.0000, 0.0000, 0.1253), Zr at (0.0000, 0.0000, 0.5078), Be at (0.0000, 0.0000, 0.3204), Be at (0.0000, 0.0000, 0.8130), Be at (0.0089, 0.5044, 0.0643), Be at (0.0099, 0.5049, 0.5648) and Al at (0.0000, 0.0000, 0.6340).

Its uncorrected energy is -180.12 eV per cell. The value obtained for the formation enthalpy at 0 K is -81 kJ/mol of formula units.

***

Entry 2:
Entry from the Alexandria database: crystalline MgBi2MoS at its relaxed geometry (GGA-PBE).

It has space group P4/mmm (No. 123), with a = 5.5922 Å, b = 5.5922 Å, c = 4.5353 Å, α = 90.00°, β = 90.00° and γ = 90.00°. Symmetry generates all atoms from Mg at (0.0000, 0.0000, 0.0000), Bi at (0.0000, 0.5000, 0.0000), Mo at (0.5000, 0.5000, 0.5000) and S at (0.0000, 0.0000, 0.5000).

The energy relative to the elements, uncorrected comes out at 970 meV/atom. Its uncorrected energy is -19.46 eV per cell.

***

Entry 3:
Entry from the Alexandria database: crystalline Ba2Ge3Pd12Rh at its relaxed geometry (GGA-PBE).

It has space group R-3m (No. 166, hexagonal axes), with a = 8.4842 Å, b = 8.4842 Å, c = 18.9729 Å, α = 90.00°, β = 90.00° and γ = 120.00°. Symmetry generates all atoms from Ba at (0.0000, 0.0000, 0.1134), Ge at (0.0000, 0.5000, 0.0000), Pd at (0.0033, 0.5017, 0.1256), Pd at (0.0390, 0.5195, 0.3707) and Rh at (0.0000, 0.0000, 0.5000).

Its uncorrected energy is -265.61 eV per cell. The value obtained for the formation enthalpy at 0 K is -113 kJ/mol of formula units.

***

Entry 4:
Entry from the Alexandria database: crystalline CaPmSbRh at its relaxed geometry (GGA-PBE).

It has space group F-43m (No. 216), with a = 7.3250 Å, b = 7.3250 Å, c = 7.3250 Å, α = 90.00°, β = 90.00° and γ = 90.00°. Symmetry generates all atoms from Ca at (0.0000, 0.0000, 0.0000), Pm at (0.0000, 0.0000, 0.5000), Sb at (0.2500, 0.2500, 0.7500) and Rh at (0.2500, 0.2500, 0.2500).

The energy relative to the elements, uncorrected comes out at -646 meV/atom. Its uncorrected energy is -83.23 eV per cell.

***

Entry 5:
Entry from the Alexandria database: crystalline CdIrPt4 at its relaxed geometry (GGA-PBE).

It has space group F-43m (No. 216), with a = 7.4446 Å, b = 7.4446 Å, c = 7.4446 Å, α = 90.00°, β = 90.00° and γ = 90.00°. Symmetry generates all atoms from Cd at (0.0000, 0.0000, 0.0000), Ir at (0.2500, 0.2500, 0.2500) and Pt at (0.1246, 0.1246, 0.6246).

Its uncorrected energy is -129.55 eV per cell. The value obtained for the formation enthalpy at 0 K is 150 kJ/mol of formula units.

***

Entry 6:
Entry from the Alexandria database: crystalline CdSi2O at its relaxed geometry (GGA-PBE).

It has space group I-42d (No. 122), with a = 4.6713 Å, b = 4.6713 Å, c = 12.3995 Å, α = 90.00°, β = 90.00° and γ = 90.00°. Symmetry generates all atoms from Cd at (0.0000, 0.0000, 0.0000), Si at (0.1016, 0.2500, 0.6250) and O at (0.0000, 0.0000, 0.5000).

The energy relative to the elements, uncorrected comes out at -164 meV/atom. Its uncorrected energy is -69.51 eV per cell.

***

Entry 7:
Entry from the Alexandria database: crystalline NaAu2Br6 at its relaxed geometry (GGA-PBE).

It has space group C2/c (No. 15), with a = 13.9818 Å, b = 11.7757 Å, c = 7.9903 Å, α = 90.00°, β = 94.99° and γ = 90.00°. Symmetry generates all atoms from Na at (0.0000, 0.0808, 0.2500), Au at (0.2431, 0.0094, 0.0838), Br at (0.0988, 0.1168, 0.9416), Br at (0.1078, 0.4181, 0.2812) and Br at (0.2364, 0.1355, 0.3446).

The energy relative to the elements, uncorrected comes out at -386 meV/atom. Its uncorrected energy is -85.55 eV per cell.

***

Entry 8:
Entry from the Alexandria database: crystalline Be2Pt3 at its relaxed geometry (GGA-PBE).

It has space group R-3m (No. 166, hexagonal axes), with a = 2.7918 Å, b = 2.7918 Å, c = 28.9062 Å, α = 90.00°, β = 90.00° and γ = 120.00°. Symmetry generates all atoms from Be at (0.0000, 0.0000, 0.1019), Pt at (0.0000, 0.0000, 0.2896) and Pt at (0.0000, 0.0000, 0.5000).

Its uncorrected energy is -84.52 eV per cell. The value obtained for the formation enthalpy at 0 K is -251 kJ/mol of formula units.